First-principles (GGA+U) data for an optimized crystal structure of CrNiP2O8, as listed in the Alexandria database.

For the energy above the most stable polymorph in this dataset, the calculation gives 61 meV per atom. As for the mass density: 3.48 g/cm3.

Cell: 8.4135 8.4135 8.4135 Å, 60.94 60.94 60.94°
Last column: nearest neighbours and their distance in Å.
Positions (direct):
O 0.0953 0.7365 0.9698  1 P 1.56
O 0.5297 0.9145 0.6412  1 P 1.54
O 0.0087 0.8255 0.6060  1 P 1.50
O 0.3730 0.4532 0.0820  1 P 1.55
O 0.3881 0.9968 0.1768  1 P 1.53
O 0.8255 0.6060 0.0087  1 P 1.50
O 0.1768 0.3881 0.9968  1 P 1.53
O 0.4094 0.2691 0.6127  1 P 1.56
O 0.4532 0.0820 0.3730  1 P 1.55
O 0.6127 0.4094 0.2691  1 P 1.56
O 0.6412 0.5297 0.9145  1 P 1.54
O 0.7323 0.3863 0.5851  1 P 1.56
O 0.9115 0.2563 0.0399  1 P 1.59
O 0.7365 0.9698 0.0953  1 P 1.56
O 0.3863 0.5851 0.7323  1 P 1.56
O 0.9698 0.0953 0.7365  1 P 1.56
O 0.2691 0.6127 0.4094  1 P 1.56
O 0.9968 0.1768 0.3881  1 P 1.53
O 0.2563 0.0399 0.9115  1 P 1.59
O 0.0820 0.3730 0.4532  1 P 1.55
O 0.6060 0.0087 0.8255  1 P 1.50
O 0.9145 0.6412 0.5297  1 P 1.54
O 0.0399 0.9115 0.2563  1 P 1.59
O 0.5851 0.7323 0.3863  1 P 1.56
Cr 0.4992 0.4992 0.4992  6 O 2.04
Cr 0.9988 0.9988 0.9988  6 O 2.04-2.07
Cr 0.1394 0.1394 0.1394  6 O 1.94-2.07
P 0.0562 0.7474 0.4558  4 O 1.50-1.59
P 0.9466 0.2553 0.5423  4 O 1.53-1.56
P 0.7474 0.4558 0.0562  4 O 1.50-1.59
P 0.5423 0.9466 0.2553  4 O 1.53-1.56
P 0.4558 0.0562 0.7474  4 O 1.50-1.59
P 0.2553 0.5423 0.9466  4 O 1.53-1.56
Ni 0.6406 0.6406 0.6406  6 O 2.02-2.10
Ni 0.3582 0.3582 0.3582  6 O 2.02-2.09
Ni 0.8603 0.8603 0.8603  6 O 1.97-2.16